Record 1
The following is a PBE calculation of a relaxed La2PmTm crystal, from Alexandria.

Properties
E above lowest polymorph, kcal/mol of atoms: 0.21
E_form, eV per formula unit: 0.1
Density of states at the Fermi level, states/eV per cell: 7.095

a = 3.706 Å, b = 3.706 Å, c = 10.080 Å
α = 90.00°, β = 90.00°, γ = 90.00°
Element x y z (fractional)
La: 0.000 0.000 0.244
La: 0.000 0.000 0.756
Pm: 0.500 0.500 0.500
Tm: 0.500 0.500 0.000

Record 2
The following is a PBE calculation of a relaxed Cs4NbO4 crystal, from Alexandria.

Properties
Density of states at the Fermi level, states/eV per cell: 4.092
Raw formation energy, eV/atom: -1.8047

a = 7.759 Å, b = 7.759 Å, c = 10.113 Å
α = 90.00°, β = 90.00°, γ = 90.00°
Element x y z (fractional)
Cs: 0.013 0.250 0.070
Cs: 0.250 0.013 0.570
Cs: 0.250 0.487 0.570
Cs: 0.487 0.250 0.070
Cs: 0.513 0.750 0.930
Cs: 0.750 0.513 0.430
Cs: 0.750 0.987 0.430
Cs: 0.987 0.750 0.930
Nb: 0.250 0.750 0.250
Nb: 0.750 0.250 0.750
O: 0.056 0.750 0.364
O: 0.250 0.556 0.136
O: 0.250 0.944 0.136
O: 0.444 0.750 0.364
O: 0.556 0.250 0.636
O: 0.750 0.056 0.864
O: 0.750 0.444 0.864
O: 0.944 0.250 0.636

Record 3
The following is a PBE calculation of a relaxed VPd8Pt2 crystal, from Alexandria.

Properties
E above lowest polymorph, kcal/mol of atoms: 0.00
E_form, eV per formula unit: -1.6
Density of states at the Fermi level, states/eV per cell: 12.584

a = 7.356 Å, b = 7.356 Å, c = 6.189 Å
α = 104.24°, β = 104.24°, γ = 30.92°
Element x y z (fractional)
V: 0.000 0.000 0.000
Pd: 0.089 0.089 0.441
Pd: 0.179 0.179 0.908
Pd: 0.368 0.368 0.826
Pd: 0.456 0.456 0.265
Pd: 0.544 0.544 0.735
Pd: 0.632 0.632 0.174
Pd: 0.821 0.821 0.092
Pd: 0.911 0.911 0.559
Pt: 0.274 0.274 0.367
Pt: 0.726 0.726 0.633

Record 4
The following is a PBE calculation of a relaxed Ac2Pm7Dy2 crystal, from Alexandria.

Properties
E above lowest polymorph, kcal/mol of atoms: 0.00
E_form, eV per formula unit: 1.8
Density of states at the Fermi level, states/eV per cell: 14.113

a = 7.149 Å, b = 7.149 Å, c = 8.294 Å
α = 100.59°, β = 100.59°, γ = 77.35°
Element x y z (fractional)
Ac: 0.206 0.794 0.000
Ac: 0.794 0.206 0.000
Pm: 0.000 0.000 0.500
Pm: 0.088 0.492 0.323
Pm: 0.444 0.444 0.683
Pm: 0.492 0.088 0.323
Pm: 0.508 0.912 0.677
Pm: 0.556 0.556 0.317
Pm: 0.912 0.508 0.677
Dy: 0.273 0.273 0.960
Dy: 0.727 0.727 0.040

Record 5
The following is a PBE calculation of a relaxed MgUAl2Ir2 crystal, from Alexandria.

Properties
E_form, eV per formula unit: -3.3
Density of states at the Fermi level, states/eV per cell: 7.793

a = 4.364 Å, b = 4.364 Å, c = 6.410 Å
α = 90.00°, β = 90.00°, γ = 120.00°
Element x y z (fractional)
Mg: 0.000 0.000 0.000
U: 0.000 0.000 0.500
Al: 0.333 0.667 0.188
Al: 0.667 0.333 0.812
Ir: 0.333 0.667 0.757
Ir: 0.667 0.333 0.243

Record 6
The following is a PBE calculation of a relaxed Na2HfH2O4 crystal, from Alexandria.

Properties
Density of states at the Fermi level, states/eV per cell: 0.000
E, eV/atom: -6.375

a = 5.628 Å, b = 5.628 Å, c = 5.964 Å
α = 108.41°, β = 108.41°, γ = 32.40°
Element x y z (fractional)
Na: 0.140 0.140 0.062
Na: 0.860 0.860 0.938
Hf: 0.000 0.000 0.500
H: 0.269 0.269 0.636
H: 0.731 0.731 0.364
O: 0.202 0.202 0.714
O: 0.471 0.471 0.712
O: 0.529 0.529 0.288
O: 0.798 0.798 0.286

Record 7
The following is a PBE calculation of a relaxed KTl2Hg3 crystal, from Alexandria.

Properties
E_form, eV per formula unit: -0.6
Density of states at the Fermi level, states/eV per cell: 4.432

a = 7.490 Å, b = 7.490 Å, c = 7.121 Å
α = 90.00°, β = 90.00°, γ = 79.69°
Element x y z (fractional)
K: 0.153 0.847 0.750
K: 0.847 0.153 0.250
Tl: 0.270 0.270 0.000
Tl: 0.270 0.270 0.500
Tl: 0.730 0.730 0.000
Tl: 0.730 0.730 0.500
Hg: 0.080 0.642 0.250
Hg: 0.358 0.920 0.250
Hg: 0.495 0.505 0.250
Hg: 0.505 0.495 0.750
Hg: 0.642 0.080 0.750
Hg: 0.920 0.358 0.750

Record 8
The following is a PBE calculation of a relaxed SiP2Ru crystal, from Alexandria.

Properties
Density of states at the Fermi level, states/eV per cell: 1.673
Raw formation energy, eV/atom: 0.0334

a = 3.830 Å, b = 3.830 Å, c = 5.751 Å
α = 108.38°, β = 108.38°, γ = 47.63°
Element x y z (fractional)
Si: 0.000 0.000 0.000
P: 0.269 0.269 0.732
P: 0.731 0.731 0.268
Ru: 0.500 0.500 0.500

Record 9
The following is a PBE calculation of a relaxed Tb2YEr2Th2 crystal, from Alexandria.

Properties
E_form, eV per formula unit: 3.3
Density of states at the Fermi level, states/eV per cell: 10.712

a = 5.463 Å, b = 5.463 Å, c = 9.109 Å
α = 93.14°, β = 93.14°, γ = 65.52°
Element x y z (fractional)
Tb: 0.186 0.186 0.085
Tb: 0.814 0.814 0.915
Y: 0.500 0.500 0.500
Er: 0.119 0.119 0.674
Er: 0.881 0.881 0.326
Th: 0.453 0.453 0.836
Th: 0.547 0.547 0.164

Record 10
The following is a PBE calculation of a relaxed RbGaIN2 crystal, from Alexandria.

Properties
E above lowest polymorph, kcal/mol of atoms: 16.48
Density of states at the Fermi level, states/eV per cell: 2.976
Raw formation energy, eV/atom: 1.6388

a = 5.409 Å, b = 5.409 Å, c = 7.395 Å
α = 90.00°, β = 90.00°, γ = 90.00°
Element x y z (fractional)
Rb: 0.000 0.000 0.000
Ga: 0.500 0.500 0.500
I: 0.000 0.000 0.500
N: 0.000 0.500 0.000
N: 0.500 0.000 0.000

Record 11
The following is a PBE calculation of a relaxed K2AgHg5 crystal, from Alexandria.

Properties
E_form, eV per formula unit: -1.1
Density of states at the Fermi level, states/eV per cell: 4.257

a = 7.747 Å, b = 7.747 Å, c = 7.747 Å
α = 128.13°, β = 128.13°, γ = 76.42°
Element x y z (fractional)
K: 0.000 0.500 0.500
K: 0.500 0.000 0.500
Ag: 0.384 0.384 0.000
Hg: 0.006 0.006 0.503
Hg: 0.006 0.503 0.000
Hg: 0.503 0.006 0.000
Hg: 0.503 0.503 0.497
Hg: 0.610 0.610 0.000

Record 12
The following is a PBE calculation of a relaxed Tb2LuMg crystal, from Alexandria.

Properties
E above lowest polymorph, kcal/mol of atoms: 1.01
E_form, eV per formula unit: 0.1
Density of states at the Fermi level, states/eV per cell: 3.856

a = 5.470 Å, b = 5.470 Å, c = 5.470 Å
α = 60.00°, β = 60.00°, γ = 60.00°
Element x y z (fractional)
Tb: 0.250 0.250 0.250
Tb: 0.750 0.750 0.750
Lu: 0.000 0.000 0.000
Mg: 0.500 0.500 0.500

Record 13
The following is a PBE calculation of a relaxed Mg2BMoC crystal, from Alexandria.

Properties
E_form, eV per formula unit: 9.3
Density of states at the Fermi level, states/eV per cell: 3.637

a = 5.233 Å, b = 5.233 Å, c = 3.907 Å
α = 90.00°, β = 90.00°, γ = 90.00°
Element x y z (fractional)
Mg: 0.000 0.500 0.000
Mg: 0.500 0.000 0.000
B: 0.000 0.000 0.500
Mo: 0.500 0.500 0.000
C: 0.500 0.500 0.500

Record 14
The following is a PBE calculation of a relaxed CoIrOs2 crystal, from Alexandria.

Properties
E above lowest polymorph, kcal/mol of atoms: 1.56
E_form, eV per formula unit: 0.6
Density of states at the Fermi level, states/eV per cell: 4.395

a = 8.808 Å, b = 8.808 Å, c = 8.808 Å
α = 17.64°, β = 17.64°, γ = 17.64°
Element x y z (fractional)
Co: 0.000 0.000 0.000
Ir: 0.500 0.500 0.500
Os: 0.253 0.253 0.253
Os: 0.747 0.747 0.747

Record 15
The following is a PBE calculation of a relaxed NaYZrW crystal, from Alexandria.

Properties
E above lowest polymorph, kcal/mol of atoms: 8.61
E_form, eV per formula unit: 2.6
Density of states at the Fermi level, states/eV per cell: 4.712

a = 3.315 Å, b = 5.587 Å, c = 4.880 Å
α = 90.00°, β = 92.10°, γ = 90.00°
Element x y z (fractional)
Na: 0.000 0.000 0.000
Y: 0.500 0.108 0.500
Zr: 0.500 0.530 0.000
W: 0.000 0.573 0.500

Record 16
The following is a PBE calculation of a relaxed TiMnP2S crystal, from Alexandria.

Properties
E above lowest polymorph, kcal/mol of atoms: 0.00
Density of states at the Fermi level, states/eV per cell: 3.758
Raw formation energy, eV/atom: 0.2393

a = 4.723 Å, b = 4.723 Å, c = 4.615 Å
α = 90.00°, β = 90.00°, γ = 90.00°
Element x y z (fractional)
Ti: 0.000 0.000 0.000
Mn: 0.500 0.500 0.500
P: 0.000 0.500 0.000
P: 0.500 0.000 0.000
S: 0.000 0.000 0.500

Record 17
The following is a PBE calculation of a relaxed TaTeP2 crystal, from Alexandria.

Properties
Density of states at the Fermi level, states/eV per cell: 1.891
Raw formation energy, eV/atom: 0.0989

a = 3.650 Å, b = 4.708 Å, c = 4.866 Å
α = 90.00°, β = 100.89°, γ = 90.00°
Element x y z (fractional)
Ta: 0.000 0.000 0.000
Te: 0.500 0.000 0.500
P: 0.209 0.500 0.859
P: 0.791 0.500 0.141

Record 18
The following is a PBE calculation of a relaxed NiRh2 crystal, from Alexandria.

Properties
E above lowest polymorph, kcal/mol of atoms: 0.25
E_form, eV per formula unit: 0.2
Density of states at the Fermi level, states/eV per cell: 4.874

a = 2.680 Å, b = 2.680 Å, c = 6.420 Å
α = 90.00°, β = 90.00°, γ = 120.00°
Element x y z (fractional)
Ni: 0.000 0.000 0.000
Rh: 0.333 0.667 0.325
Rh: 0.667 0.333 0.675

Record 19
The following is a PBE calculation of a relaxed LaAg2 crystal, from Alexandria.

Properties
E_form, eV per formula unit: -0.5
Density of states at the Fermi level, states/eV per cell: 7.816

a = 5.853 Å, b = 5.853 Å, c = 5.853 Å
α = 60.00°, β = 60.00°, γ = 60.00°
Element x y z (fractional)
La: 0.125 0.125 0.125
La: 0.875 0.875 0.875
Ag: 0.000 0.500 0.500
Ag: 0.500 0.000 0.500
Ag: 0.500 0.500 0.000
Ag: 0.500 0.500 0.500

Record 20
The following is a PBE calculation of a relaxed LaTb5Cd6 crystal, from Alexandria.

Properties
E_form, eV per formula unit: -3.8
Density of states at the Fermi level, states/eV per cell: 14.750

a = 8.455 Å, b = 8.455 Å, c = 7.627 Å
α = 90.00°, β = 90.00°, γ = 143.22°
Element x y z (fractional)
La: 0.000 0.000 0.000
Tb: 0.000 0.000 0.500
Tb: 0.332 0.668 0.000
Tb: 0.336 0.664 0.500
Tb: 0.664 0.336 0.500
Tb: 0.668 0.332 0.000
Cd: 0.171 0.829 0.258
Cd: 0.171 0.829 0.742
Cd: 0.500 0.500 0.258
Cd: 0.500 0.500 0.742
Cd: 0.829 0.171 0.258
Cd: 0.829 0.171 0.742